Compound: Hf2PaCo
Source: Alexandria
Functional: PBE-GGA
Structure: optimized geometry

- Density of states at the Fermi level: 4.876 states/eV/cell
- Total energy: -9.101 eV per atom
- Symmetry: R3m, No. 160

extended XYZ file:
```
4
Lattice="-0.785 2.420 1.919 -0.591 -0.539 3.085 8.376 1.964 3.593" Properties=species:S:1:pos:R:3 pbc="T T T"
Pa 3.494 1.922 4.297
Hf 1.326 0.897 2.057
Hf 6.592 1.694 3.204
Co -0.911 1.255 3.338
```